# 1
# Sr2TlGeO6, relaxed, DFT PBE
# Raw formation energy   -1698 kJ/mol of formula units
# Crystal system   tetragonal
data_Sr2TlGeO6
_cell_length_a 5.378
_cell_length_b 5.378
_cell_length_c 5.339
_cell_angle_alpha 90.00
_cell_angle_beta 90.00
_cell_angle_gamma 90.00
_symmetry_space_group_name_H-M 'P 4 m m'
_symmetry_Int_Tables_number 99
loop_
_symmetry_equiv_pos_as_xyz
'x,y,z'
'-y,x,z'
'-x,-y,z'
'y,-x,z'
'-x,y,z'
'y,x,z'
'x,-y,z'
'-y,-x,z'
loop_
_atom_site_label
_atom_site_fract_x
_atom_site_fract_y
_atom_site_fract_z
Sr1 0.000 0.500 0.000
Tl1 0.000 0.000 0.506
Ge1 0.500 0.500 0.545
O1 0.000 0.000 0.110
O2 0.271 0.271 0.675
O3 0.500 0.500 0.212

# 2
# SrTl3Ge4O12, relaxed, DFT PBE
# Raw formation energy   -2382 kJ/mol of formula units
# Crystal system   trigonal
data_SrTl3Ge4O12
_cell_length_a 11.6625
_cell_length_b 11.6625
_cell_length_c 9.0454
_cell_angle_alpha 90.00
_cell_angle_beta 90.00
_cell_angle_gamma 120.00
_symmetry_space_group_name_H-M 'R 3 2'
_symmetry_Int_Tables_number 155
_symmetry_space_group_name_Hall 'R 3 2"'
loop_
_atom_site_label
_atom_site_fract_x
_atom_site_fract_y
_atom_site_fract_z
Sr1 0.0000 0.0000 0.0000
Tl1 0.0000 0.5381 0.0000
Ge1 0.0000 0.0000 0.5000
Ge2 0.0000 0.4633 0.5000
O1 0.0000 0.6113 0.5000
O2 0.0000 0.8519 0.5000
O3 0.0124 0.1936 0.1655

# 3
# SrTlGeO4, relaxed, DFT PBE
# Raw formation energy   -1192 kJ/mol of formula units
# Crystal system   orthorhombic
data_SrTlGeO4
_cell_length_a 6.278
_cell_length_b 9.987
_cell_length_c 7.381
_cell_angle_alpha 90.00
_cell_angle_beta 90.00
_cell_angle_gamma 90.00
_symmetry_space_group_name_H-M 'C m c m'
_symmetry_Int_Tables_number 63
_symmetry_space_group_name_Hall '-C 2c 2'
loop_
_atom_site_label
_atom_site_fract_x
_atom_site_fract_y
_atom_site_fract_z
Sr1 0.000 0.000 0.000
Tl1 0.000 0.326 0.250
Ge1 0.000 0.356 0.750
O1 0.000 0.248 0.560
O2 0.224 0.469 0.750